{"formula": "Nd2PO", "functional": "PBE", "state": "relaxed", "dft_energy_ev_per_cell": -112.25, "relative_energy_ev_per_atom": 0.027, "sg": "No. 13", "crystal_system": "monoclinic", "formation_energy_uncorrected_ev_per_atom": -2.04, "lattice": [[5.667, 0.000, 0.000], [0.000, 5.654, 0.000], [-5.455, 0.000, 10.802]], "species": ["Nd", "Nd", "Nd", "Nd", "Nd", "Nd", "Nd", "Nd", "P", "P", "P", "P", "O", "O", "O", "O"], "frac_coords": [[0.109, 0.227, 0.113], [0.109, 0.773, 0.613], [0.335, 0.241, 0.863], [0.335, 0.759, 0.363], [0.665, 0.241, 0.637], [0.665, 0.759, 0.137], [0.891, 0.227, 0.387], [0.891, 0.773, 0.887], [0.377, 0.257, 0.375], [0.377, 0.743, 0.875], [0.623, 0.257, 0.125], [0.623, 0.743, 0.625], [0.083, 0.209, 0.624], [0.083, 0.791, 0.124], [0.917, 0.209, 0.876], [0.917, 0.791, 0.376]]}



{"formula": "NdP2PbO8", "functional": "PBE", "state": "relaxed", "dft_energy_ev_per_cell": -85.93, "sg": "No. 164", "crystal_system": "trigonal", "formation_energy_uncorrected_ev_per_atom": -2.25, "lattice": [[5.491, 0.000, 0.000], [-2.746, 4.755, 0.000], [0.000, 0.000, 7.542]], "species": ["Nd", "P", "P", "Pb", "O", "O", "O", "O", "O", "O", "O", "O"], "frac_coords": [[0.000, 0.000, 0.000], [0.333, 0.667, 0.282], [0.667, 0.333, 0.718], [0.000, 0.000, 0.500], [0.180, 0.359, 0.213], [0.180, 0.820, 0.213], [0.333, 0.667, 0.487], [0.359, 0.180, 0.787], [0.641, 0.820, 0.213], [0.667, 0.333, 0.513], [0.820, 0.180, 0.787], [0.820, 0.641, 0.787]]}